Record 1
VASP calculation (PBE-GGA) on a geometry-optimized GaTcSe structure.

```
GaTcSe
1.0
-2.5731 6.4298 -0.1751
-2.6981 -1.1088 -1.0672
-1.6923 -5.2196 9.7014
Ga Tc Se
4 4 4
direct
0.1401 0.0000 0.2196
0.1401 0.5000 0.7196
0.7391 0.0000 0.1073
0.7391 0.5000 0.6073
0.4514 0.0000 0.7024
0.4514 0.5000 0.2024
0.4603 0.0000 0.4398
0.4603 0.5000 0.9398
0.2227 0.0000 0.9927
0.2227 0.5000 0.4927
0.7276 0.0000 0.3474
0.7276 0.5000 0.8474
```

Total energy, eV/atom: -5.819
Energy above the lowest structure with this stoichiometry, kJ per mole of atoms: 2.8
Uncorrected formation energy, eV per atom: -0.193
Crystal system: monoclinic
SG: Cm (8)

=====

Record 2
VASP calculation (PBE-GGA) on a geometry-optimized Ga2TcSe structure.

```
Ga2TcSe
1.0
0.0000 3.2132 3.2132
3.2132 0.0000 3.2132
3.2132 3.2132 0.0000
Ga Tc Se
2 1 1
direct
0.2500 0.2500 0.2500
0.7500 0.7500 0.7500
0.5000 0.5000 0.5000
0.0000 0.0000 0.0000
```

Total energy, eV/atom: -4.525
Energy above the lowest structure with this stoichiometry, kJ per mole of atoms: 0.0
Uncorrected formation energy, eV per atom: 0.451
Crystal system: cubic
SG: Fm-3m (225)